CoAgAsP2 | PBE | relaxed

Calculated values
DOS(E_F) = 4.9 states/eV per cell
Uncorrected energy = -4.07 eV/atom
Formation enthalpy at 0 K = 5.062 eV/f.u.

Geometry as POSCAR:
```
CoAgAsP2
1.0
4.8025 0.0000 0.0000
0.0000 4.3397 0.0000
0.0000 0.0000 4.8025
P Co Ag As
2 1 1 1
Direct
0.5000 0.0000 0.0000 P
0.0000 0.0000 0.5000 P
0.0000 0.5000 0.0000 Co
0.5000 0.5000 0.5000 Ag
0.0000 0.0000 0.0000 As
```